Ta5C4: relaxed, GGA-PBEsol.

## Properties
Spin magnetization in μB per atom: 0.000
DOS(E_F) in states/eV/cell: 2.593

a = 3.0336 Å, b = 7.2111 Å, c = 7.2111 Å
α = 87.46°, β = 77.86°, γ = 77.86°
Closest atoms and distances in Å follow each position.
Fractional coordinates of all 9 atoms:
Ta 0.3413 0.3175 0.0000  4 C 2.27
Ta 0.6587 0.0000 0.6825  4 C 2.27
Ta 0.3413 0.0000 0.3175  4 C 2.27
Ta 0.0000 0.0000 0.0000  4 C 2.17
Ta 0.6587 0.6825 0.0000  4 C 2.27
C 0.7828 0.2172 0.2172  5 Ta 2.17-2.27
C 0.0000 0.2172 0.7828  5 Ta 2.17-2.27
C 0.2172 0.7828 0.7828  5 Ta 2.17-2.27
C 0.0000 0.7828 0.2172  5 Ta 2.17-2.27

***

TaC2: relaxed, GGA-PBEsol.

## Properties
Spin magnetization in μB per atom: 0.000
Offset from the most stable computed form in meV/atom: 0
DOS(E_F) in states/eV/cell: 1.984

a = 2.7559 Å, b = 2.7559 Å, c = 8.0872 Å
α = 90.00°, β = 90.00°, γ = 120.00°
Closest atoms and distances in Å follow each position.
Fractional coordinates of all 6 atoms:
Ta 0.3333 0.6667 0.7500  8 C 2.30-2.36
Ta 0.6667 0.3333 0.2500  8 C 2.30-2.36
C 0.6667 0.3333 0.5348  3 C 1.69
C 0.3333 0.6667 0.4652  3 C 1.69
C 0.3333 0.6667 0.0348  3 C 1.69
C 0.6667 0.3333 0.9652  3 C 1.69

***

TaC3: relaxed, GGA-PBEsol.

## Properties
Spin magnetization in μB per atom: 0.000
Offset from the most stable computed form in meV/atom: 169
DOS(E_F) in states/eV/cell: 1.093

a = 2.7151 Å, b = 3.1890 Å, c = 5.3412 Å
α = 90.00°, β = 104.72°, γ = 90.00°
Closest atoms and distances in Å follow each position.
Fractional coordinates of all 4 atoms:
C 0.2276 0.0000 0.4552  2 C 1.43
C 0.7724 0.0000 0.5448  2 C 1.43
C 0.5000 0.5000 0.0000  4 Ta 2.09
Ta 0.0000 0.0000 0.0000  4 C 2.09

***

TaC3: relaxed, GGA-PBEsol.

## Properties
Spin magnetization in μB per atom: 0.000
Offset from the most stable computed form in meV/atom: 339
DOS(E_F) in states/eV/cell: 1.929

a = 3.9733 Å, b = 4.0634 Å, c = 4.4265 Å
α = 90.00°, β = 90.00°, γ = 90.00°
Closest atoms and distances in Å follow each position.
Fractional coordinates of all 8 atoms:
C 0.6620 0.0000 0.5000  2 C 1.62
C 0.0320 0.0000 0.3459  1 C 1.36
C 0.9680 0.5000 0.1541  1 C 1.36
C 0.3380 0.5000 0.0000  2 C 1.62
C 0.0320 0.0000 0.6541  1 C 1.36
C 0.9680 0.5000 0.8459  1 C 1.36
Ta 0.6408 0.0000 0.0000  6 C 2.18-2.36
Ta 0.3592 0.5000 0.5000  6 C 2.18-2.36

***

no.,energy relative to the elements (eV/f.u.)
1,4.1
2,1.8
3,3.2
4,3.9